Crystalline PmPuGePb at its relaxed geometry, computed with GGA-PBE.

Structure (CIF):
```
data_PmPuGePb
_chemical_formula_sum 'Pm1 Pu1 Ge1 Pb1'
_symmetry_space_group_name_H-M 'P 1'
_symmetry_Int_Tables_number 1
_cell_length_a 5.326
_cell_length_b 5.326
_cell_length_c 5.326
_cell_angle_alpha 60.00
_cell_angle_beta 60.00
_cell_angle_gamma 60.00
loop_
_symmetry_equiv_pos_as_xyz
'x,y,z'
loop_
_atom_site_label
_atom_site_fract_x
_atom_site_fract_y
_atom_site_fract_z
_atom_site_occupancy
Pm1 0.000 0.000 0.000 1
Pu1 0.500 0.500 0.500 1
Ge1 0.750 0.750 0.750 1
Pb1 0.250 0.250 0.250 1
```

DOS(E_F) = 11.05 states/eV/cell
calculated total energy = -28.61 eV for the cell shown
M_tot = 5.99 μB/f.u.

***

Crystalline BaSr5Ca3 at its relaxed geometry, computed with GGA-PBE.

Structure (CIF):
```
data_BaSr5Ca3
_chemical_formula_sum 'Ba2 Sr10 Ca6'
_symmetry_space_group_name_H-M 'P 1'
_symmetry_Int_Tables_number 1
_cell_length_a 8.632
_cell_length_b 8.632
_cell_length_c 15.123
_cell_angle_alpha 94.20
_cell_angle_beta 94.20
_cell_angle_gamma 67.45
loop_
_symmetry_equiv_pos_as_xyz
'x,y,z'
loop_
_atom_site_label
_atom_site_fract_x
_atom_site_fract_y
_atom_site_fract_z
_atom_site_occupancy
Ba1 0.136 0.136 0.271 1
Ba2 0.864 0.864 0.729 1
Sr1 0.071 0.656 0.210 1
Sr2 0.253 0.253 0.019 1
Sr3 0.325 0.675 0.000 1
Sr4 0.344 0.929 0.790 1
Sr5 0.433 0.433 0.388 1
Sr6 0.567 0.567 0.612 1
Sr7 0.656 0.071 0.210 1
Sr8 0.675 0.325 0.000 1
Sr9 0.747 0.747 0.981 1
Sr10 0.929 0.344 0.790 1
Ca1 0.000 0.000 0.000 1
Ca2 0.000 0.000 0.500 1
Ca3 0.257 0.257 0.572 1
Ca4 0.391 0.391 0.792 1
Ca5 0.609 0.609 0.208 1
Ca6 0.743 0.743 0.428 1
```

DOS(E_F) = 26.97 states/eV/cell
excess energy over the best structure of this formula in the dataset = 0.90 eV per formula unit
calculated total energy = -27.19 eV for the cell shown
M_tot = 0.49 μB/f.u.

***

Crystalline KC2 at its relaxed geometry, computed with GGA-PBE.

Structure (CIF):
```
data_KC2
_chemical_formula_sum 'K1 C2'
_symmetry_space_group_name_H-M 'P 1'
_symmetry_Int_Tables_number 1
_cell_length_a 3.960
_cell_length_b 3.960
_cell_length_c 3.960
_cell_angle_alpha 83.13
_cell_angle_beta 83.13
_cell_angle_gamma 83.13
loop_
_symmetry_equiv_pos_as_xyz
'x,y,z'
loop_
_atom_site_label
_atom_site_fract_x
_atom_site_fract_y
_atom_site_fract_z
_atom_site_occupancy
K1 0.000 0.000 0.000 1
C1 0.418 0.418 0.418 1
C2 0.584 0.584 0.584 1
```

DOS(E_F) = 1.19 states/eV/cell
excess energy over the best structure of this formula in the dataset = 2.36 eV per formula unit
calculated total energy = -15.67 eV for the cell shown
M_tot = 1.02 μB/f.u.

***

Crystalline AgH at its relaxed geometry, computed with GGA-PBE.

Structure (CIF):
```
data_AgH
_chemical_formula_sum 'Ag3 H3'
_symmetry_space_group_name_H-M 'P 1'
_symmetry_Int_Tables_number 1
_cell_length_a 3.170
_cell_length_b 5.225
_cell_length_c 5.225
_cell_angle_alpha 106.73
_cell_angle_beta 90.00
_cell_angle_gamma 90.00
loop_
_symmetry_equiv_pos_as_xyz
'x,y,z'
loop_
_atom_site_label
_atom_site_fract_x
_atom_site_fract_y
_atom_site_fract_z
_atom_site_occupancy
Ag1 0.000 0.000 0.000 1
Ag2 0.500 0.503 0.951 1
Ag3 0.500 0.951 0.503 1
H1 0.000 0.037 0.371 1
H2 0.000 0.371 0.037 1
H3 0.500 0.799 0.799 1
```

DOS(E_F) = 0.09 states/eV/cell
excess energy over the best structure of this formula in the dataset = 0.09 eV per formula unit
calculated total energy = -17.13 eV for the cell shown
M_tot = 0.00 μB/f.u.